No. 1
Material: MnBe2Fe
Method: DFT, PBEsol
State: relaxed

abc: 2.566 2.566 5.370
angles: 90.00 90.00 90.00
Sites, in units of the cell vectors:
Mn  0.000  0.000  0.000
Be  0.000  0.000  0.491
Be  0.500  0.500  0.269
Fe  0.500  0.500  0.742

Total moment: 0.0011 μB/atom
VASP energy: -0.2510 hartree per atom

=====

No. 2
Material: NiAuC2
Method: DFT, PBEsol
State: relaxed

abc: 3.826 3.826 3.826
angles: 60.00 60.00 60.00
Sites, in units of the cell vectors:
Ni  0.000  0.000  0.000
Au  0.500  0.500  0.500
C  0.250  0.250  0.250
C  0.750  0.750  0.750

Total moment: 0.0001 μB/atom
VASP energy: -0.1960 hartree per atom